DFT (PBE-GGA) results for a relaxed structure of Ac8Rh4S.

Results
Calculated volume, Å³/atom: 38.67
Uncorrected formation energy, eV per formula unit: -9.3
Magnetic moment, μB/atom: 0.000

Cell lengths 21.4783, 4.3424, 14.5539 Å; angles 90.00, 132.21, 90.00 degrees
Closest atoms and distances in Å follow each position.
Space group Cm (No. 8)
Inequivalent atoms, fractional coordinates:
Ac 0.0000 0.0000 0.0000 (multiplicity 2)  3 Rh 2.95-3.00
Ac 0.0185 0.0000 0.7390 (multiplicity 2)  3 Rh 3.01-3.05, 1 S 3.10
Ac 0.1239 0.5000 0.6202 (multiplicity 2)  3 Rh 2.90-2.98
Ac 0.2026 0.5000 0.0617 (multiplicity 2)  3 Rh 2.94-2.97
Ac 0.3025 0.0000 0.9368 (multiplicity 2)  3 Rh 2.93-2.98
Ac 0.3228 0.0000 0.6716 (multiplicity 2)  3 Rh 3.08, 2 S 3.09
Ac 0.3692 0.0000 0.4139 (multiplicity 2)  3 Rh 3.09-3.10, 2 S 3.18
Ac 0.4535 0.5000 0.2725 (multiplicity 2)  3 Rh 2.93-2.99
Rh 0.0042 0.0000 0.5162 (multiplicity 2)  6 Ac 2.90-3.09
Rh 0.0158 0.5000 0.8794 (multiplicity 2)  6 Ac 2.95-3.08
Rh 0.3111 0.5000 0.8100 (multiplicity 2)  6 Ac 2.93-3.08
Rh 0.3256 0.0000 0.1632 (multiplicity 2)  6 Ac 2.94-3.10
S 0.3253 0.5000 0.5226 (multiplicity 2)  5 Ac 3.09-3.18



DFT (PBE-GGA) results for a relaxed structure of Sr3Pr2Zn2Pt4.

Results
Calculated volume, Å³/atom: 27.39
Magnetic moment, μB/atom: 0.000
DFT formation energy, eV per atom: -0.732

Cell lengths 4.4209, 4.4209, 17.7995 Å; angles 90.00, 90.00, 120.00 degrees
Closest atoms and distances in Å follow each position.
Space group P-3m1 (No. 164)
Inequivalent atoms, fractional coordinates:
Sr 0.0000 0.0000 0.0000 (multiplicity 1)  6 Pt 3.32, 6 Zn 3.34
Sr 0.0000 0.0000 0.2396 (multiplicity 2)  6 Pt 3.20-3.34, 3 Zn 3.31
Pr 0.3333 0.6667 0.5796 (multiplicity 2)  3 Pt 2.86
Zn 0.3333 0.6667 0.1207 (multiplicity 2)  3 Pt 2.55
Pt 0.3333 0.6667 0.3476 (multiplicity 2)  3 Pr 2.86, 3 Sr 3.20
Pt 0.3333 0.6667 0.8811 (multiplicity 2)  3 Zn 2.55



DFT (PBE-GGA) results for a relaxed structure of PmEuZnIr.

Results
Calculated volume, Å³/atom: 22.94
Magnetic moment, μB/atom: 1.729
DFT formation energy, eV per atom: -0.392

Cell lengths 7.1600, 7.1600, 7.1600 Å; angles 90.00, 90.00, 90.00 degrees
Closest atoms and distances in Å follow each position.
Space group F-43m (No. 216)
Inequivalent atoms, fractional coordinates:
Pm 0.0000 0.0000 0.0000 (multiplicity 4)  4 Ir 3.10, 4 Zn 3.10
Eu 0.0000 0.0000 0.5000 (multiplicity 4)  4 Ir 3.10, 4 Zn 3.10
Zn 0.2500 0.2500 0.7500 (multiplicity 4)  4 Pm 3.10, 4 Eu 3.10
Ir 0.2500 0.2500 0.2500 (multiplicity 4)  4 Pm 3.10, 4 Eu 3.10



Repeat the third record exactly.
DFT (PBE-GGA) results for a relaxed structure of PmEuZnIr.

Results
Calculated volume, Å³/atom: 22.94
Magnetic moment, μB/atom: 1.729
DFT formation energy, eV per atom: -0.392

Cell lengths 7.1600, 7.1600, 7.1600 Å; angles 90.00, 90.00, 90.00 degrees
Closest atoms and distances in Å follow each position.
Space group F-43m (No. 216)
Inequivalent atoms, fractional coordinates:
Pm 0.0000 0.0000 0.0000 (multiplicity 4)  4 Ir 3.10, 4 Zn 3.10
Eu 0.0000 0.0000 0.5000 (multiplicity 4)  4 Ir 3.10, 4 Zn 3.10
Zn 0.2500 0.2500 0.7500 (multiplicity 4)  4 Pm 3.10, 4 Eu 3.10
Ir 0.2500 0.2500 0.2500 (multiplicity 4)  4 Pm 3.10, 4 Eu 3.10



Look up the calculated volume of the first one.
38.67 Å³/atom



What did the second record say?
DFT (PBE-GGA) results for a relaxed structure of Sr3Pr2Zn2Pt4.

Results
Calculated volume, Å³/atom: 27.39
Magnetic moment, μB/atom: 0.000
DFT formation energy, eV per atom: -0.732

Cell lengths 4.4209, 4.4209, 17.7995 Å; angles 90.00, 90.00, 120.00 degrees
Closest atoms and distances in Å follow each position.
Space group P-3m1 (No. 164)
Inequivalent atoms, fractional coordinates:
Sr 0.0000 0.0000 0.0000 (multiplicity 1)  6 Pt 3.32, 6 Zn 3.34
Sr 0.0000 0.0000 0.2396 (multiplicity 2)  6 Pt 3.20-3.34, 3 Zn 3.31
Pr 0.3333 0.6667 0.5796 (multiplicity 2)  3 Pt 2.86
Zn 0.3333 0.6667 0.1207 (multiplicity 2)  3 Pt 2.55
Pt 0.3333 0.6667 0.3476 (multiplicity 2)  3 Pr 2.86, 3 Sr 3.20
Pt 0.3333 0.6667 0.8811 (multiplicity 2)  3 Zn 2.55



What is the magnetic moment in the second record?
0.000 μB/atom